[1]
Below is a geometry-optimized Ta2WS structure, with properties calculated at the PBE level.

## Properties
VASP energy   -39.359 eV per cell

Cell lengths 2.9470, 2.9470, 9.3223 Å; angles 80.91, 80.91, 60.00 degrees
Atoms (fractional coordinates):
S (0.5000, 0.5000, 0.5000)
W (0.0000, 0.0000, 0.0000)
Ta (0.0966, 0.0966, 0.7103)
Ta (0.9034, 0.9034, 0.2897)

=====

[2]
Below is a geometry-optimized TaW2S structure, with properties calculated at the PBE level.

## Properties
VASP energy   -78.628 eV per cell

Cell lengths 3.6744, 3.6744, 10.4041 Å; angles 79.83, 79.83, 90.00 degrees
Atoms (fractional coordinates):
S (0.5000, 0.5000, 0.0000)
S (0.2500, 0.7500, 0.5000)
W (0.1260, 0.6250, 0.2500)
W (0.8750, 0.8740, 0.7500)
W (0.6240, 0.1250, 0.2500)
W (0.3750, 0.3760, 0.7500)
Ta (0.0000, 0.0000, 0.0000)
Ta (0.7500, 0.2500, 0.5000)

=====

[3]
Below is a geometry-optimized YTaS3 structure, with properties calculated at the PBE level.

## Properties
Offset from the most stable computed form   555.7 meV/atom
VASP energy   -35.208 eV per cell

Cell lengths 4.7507, 4.7507, 4.7507 Å; angles 90.00, 90.00, 90.00 degrees
Atoms (fractional coordinates):
S (0.5000, 0.0000, 0.0000)
S (0.0000, 0.0000, 0.5000)
S (0.0000, 0.5000, 0.0000)
Y (0.5000, 0.5000, 0.5000)
Ta (0.0000, 0.0000, 0.0000)

=====

[4]
Below is a geometry-optimized YTaS4 structure, with properties calculated at the PBE level.

## Properties
VASP energy   -85.573 eV per cell

Cell lengths 6.3117, 6.3636, 9.4442 Å; angles 104.04, 103.83, 106.40 degrees
Atoms (fractional coordinates):
S (0.1225, 0.4028, 0.3329)
S (0.8775, 0.5972, 0.6671)
S (0.5389, 0.2641, 0.0798)
S (0.7103, 0.9301, 0.3329)
S (0.0409, 0.8158, 0.0798)
S (0.2897, 0.0699, 0.6671)
S (0.4611, 0.7359, 0.9202)
S (0.9591, 0.1842, 0.9202)
Y (0.6766, 0.4266, 0.8531)
Y (0.3234, 0.5734, 0.1469)
Ta (0.8284, 0.0784, 0.1568)
Ta (0.1716, 0.9216, 0.8432)